# HoUTe2 (PBE, optimized geometry)
data_HoUTe2
_symmetry_space_group_name_H-M 'R -3 m'
_symmetry_Int_Tables_number 166
_symmetry_space_group_name_Hall '-R 3 2"'
_cell_length_a 4.2153
_cell_length_b 4.2153
_cell_length_c 22.5689
_cell_angle_alpha 90.00
_cell_angle_beta 90.00
_cell_angle_gamma 120.00
loop_
_atom_site_label
_atom_site_type_symbol
_atom_site_fract_x
_atom_site_fract_y
_atom_site_fract_z
Ho1 Ho 0.0000 0.0000 0.0000
U1 U 0.0000 0.0000 0.5000
Te1 Te 0.0000 0.0000 0.2522
# V: 28.94 Å³/atom
# Magnetization: 9.6 μB/cell
# Crystal system: trigonal
# Energy relative to the elements, uncorrected: -838 meV/atom
# Total energy: -6.376 eV/atom
# DOS at the Fermi energy: 1.764 states/eV per atom

***

# HoUTe3 (PBE, optimized geometry)
data_HoUTe3
_symmetry_space_group_name_H-M 'P n m a'
_symmetry_Int_Tables_number 62
_cell_length_a 12.038
_cell_length_b 4.244
_cell_length_c 11.867
_cell_angle_alpha 90.00
_cell_angle_beta 90.00
_cell_angle_gamma 90.00
loop_
_symmetry_equiv_pos_as_xyz
'x,y,z'
'-x,-y,-z'
'-x+1/2,-y,z+1/2'
'x+1/2,y,-z+1/2'
'x+1/2,-y+1/2,-z+1/2'
'-x+1/2,y+1/2,z+1/2'
'-x,y+1/2,-z'
'x,-y+1/2,z'
loop_
_atom_site_label
_atom_site_type_symbol
_atom_site_fract_x
_atom_site_fract_y
_atom_site_fract_z
Ho1 Ho 0.193 0.250 0.005
U1 U 0.015 0.250 0.685
Te1 Te 0.048 0.750 0.877
Te2 Te 0.125 0.250 0.444
Te3 Te 0.224 0.750 0.199
# V: 30.31 Å³/atom
# Magnetization: 11.5 μB/cell
# Crystal system: orthorhombic
# Energy relative to the elements, uncorrected: -967 meV/atom
# Total energy: -6.025 eV/atom
# E above lowest polymorph: 0.0000 eV per atom
# DOS at the Fermi energy: 1.476 states/eV per atom

***

# HoUTe6 (PBE, optimized geometry)
data_HoUTe6
_symmetry_space_group_name_H-M 'A m m 2'
_symmetry_Int_Tables_number 38
_cell_length_a 4.376
_cell_length_b 4.363
_cell_length_c 26.437
_cell_angle_alpha 90.00
_cell_angle_beta 90.00
_cell_angle_gamma 90.00
loop_
_symmetry_equiv_pos_as_xyz
'x,y,z'
'-x,-y,z'
'-x,y,z'
'x,-y,z'
'x,y+1/2,z+1/2'
'-x,-y+1/2,z+1/2'
'-x,y+1/2,z+1/2'
'x,-y+1/2,z+1/2'
loop_
_atom_site_label
_atom_site_type_symbol
_atom_site_fract_x
_atom_site_fract_y
_atom_site_fract_z
Ho1 Ho 0.000 0.000 0.000
U1 U 0.500 0.000 0.342
Te1 Te 0.000 0.000 0.253
Te2 Te 0.000 0.000 0.592
Te3 Te 0.000 0.000 0.878
Te4 Te 0.500 0.000 0.093
Te5 Te 0.500 0.000 0.464
Te6 Te 0.500 0.000 0.753
# V: 31.55 Å³/atom
# Magnetization: 4.4 μB/cell
# Crystal system: orthorhombic
# Energy relative to the elements, uncorrected: -715 meV/atom
# Total energy: -5.055 eV/atom
# DOS at the Fermi energy: 1.212 states/eV per atom

***

# HoUTe3 (PBE, optimized geometry)
data_HoUTe3
_symmetry_space_group_name_H-M 'C m c m'
_symmetry_Int_Tables_number 63
_symmetry_space_group_name_Hall '-C 2c 2'
_cell_length_a 4.222
_cell_length_b 14.242
_cell_length_c 10.688
_cell_angle_alpha 90.00
_cell_angle_beta 90.00
_cell_angle_gamma 90.00
loop_
_atom_site_label
_atom_site_type_symbol
_atom_site_fract_x
_atom_site_fract_y
_atom_site_fract_z
Ho1 Ho 0.000 0.000 0.000
U1 U 0.000 0.247 0.250
Te1 Te 0.000 0.093 0.750
Te2 Te 0.000 0.352 0.564
# V: 32.13 Å³/atom
# Magnetization: 11.4 μB/cell
# Crystal system: orthorhombic
# Energy relative to the elements, uncorrected: -963 meV/atom
# Total energy: -6.021 eV/atom
# E above lowest polymorph: 0.0035 eV per atom
# DOS at the Fermi energy: 0.956 states/eV per atom

***

# Ho2VTe (PBE, optimized geometry)
data_Ho2VTe
_symmetry_space_group_name_H-M 'R -3 m'
_symmetry_Int_Tables_number 166
_symmetry_space_group_name_Hall '-R 3 2"'
_cell_length_a 3.6969
_cell_length_b 3.6969
_cell_length_c 29.7292
_cell_angle_alpha 90.00
_cell_angle_beta 90.00
_cell_angle_gamma 120.00
loop_
_atom_site_label
_atom_site_type_symbol
_atom_site_fract_x
_atom_site_fract_y
_atom_site_fract_z
Ho1 Ho 0.0000 0.0000 0.0947
V1 V 0.0000 0.0000 0.0000
Te1 Te 0.0000 0.0000 0.5000
# V: 29.32 Å³/atom
# Magnetization: 9.0 μB/cell
# Crystal system: trigonal
# Energy relative to the elements, uncorrected: 297 meV/atom
# Total energy: -5.057 eV/atom
# DOS at the Fermi energy: 0.883 states/eV per atom

***

# Y3Ho2Te6 (PBE, optimized geometry)
data_Y3Ho2Te6
_symmetry_space_group_name_H-M 'R -3 m'
_symmetry_Int_Tables_number 166
_symmetry_space_group_name_Hall '-R 3 2"'
_cell_length_a 4.3631
_cell_length_b 4.3631
_cell_length_c 64.6701
_cell_angle_alpha 90.00
_cell_angle_beta 90.00
_cell_angle_gamma 120.00
loop_
_atom_site_label
_atom_site_type_symbol
_atom_site_fract_x
_atom_site_fract_y
_atom_site_fract_z
Y1 Y 0.0000 0.0000 0.0000
Y2 Y 0.0000 0.0000 0.2789
Ho1 Ho 0.0000 0.0000 0.4469
Te1 Te 0.0000 0.0000 0.0831
Te2 Te 0.0000 0.0000 0.1952
Te3 Te 0.0000 0.0000 0.3607
# V: 32.31 Å³/atom
# Magnetization: 0.0 μB/cell
# Crystal system: trigonal
# Energy relative to the elements, uncorrected: -1321 meV/atom
# Total energy: -5.629 eV/atom
# E above lowest polymorph: 0.0786 eV per atom
# DOS at the Fermi energy: 0.474 states/eV per atom

***

# YHo3Te6 (PBE, optimized geometry)
data_YHo3Te6
_symmetry_space_group_name_H-M 'R -3'
_symmetry_Int_Tables_number 148
_symmetry_space_group_name_Hall '-R 3'
_cell_length_a 12.7806
_cell_length_b 12.7806
_cell_length_c 15.4472
_cell_angle_alpha 90.00
_cell_angle_beta 90.00
_cell_angle_gamma 120.00
loop_
_atom_site_label
_atom_site_type_symbol
_atom_site_fract_x
_atom_site_fract_y
_atom_site_fract_z
Y1 Y 0.0000 0.0000 0.0000
Y2 Y 0.0000 0.0000 0.5000
Ho1 Ho 0.0570 0.2748 0.2001
Te1 Te 0.0156 0.2101 0.3934
Te2 Te 0.0340 0.1970 0.8749
# V: 36.42 Å³/atom
# Magnetization: 0.0 μB/cell
# Crystal system: trigonal
# Energy relative to the elements, uncorrected: -1326 meV/atom
# Total energy: -5.230 eV/atom
# E above lowest polymorph: 0.0408 eV per atom

***

# Y3HoTe2 (PBE, optimized geometry)
data_Y3HoTe2
_symmetry_space_group_name_H-M 'C m m m'
_symmetry_Int_Tables_number 65
_symmetry_space_group_name_Hall '-C 2 2'
_cell_length_a 5.295
_cell_length_b 15.881
_cell_length_c 3.951
_cell_angle_alpha 90.00
_cell_angle_beta 90.00
_cell_angle_gamma 90.00
loop_
_atom_site_label
_atom_site_type_symbol
_atom_site_fract_x
_atom_site_fract_y
_atom_site_fract_z
Y1 Y 0.000 0.000 0.000
Y2 Y 0.000 0.178 0.500
Ho1 Ho 0.000 0.500 0.500
Te1 Te 0.000 0.344 0.000
# V: 27.68 Å³/atom
# Magnetization: 0.0 μB/cell
# Crystal system: orthorhombic
# Energy relative to the elements, uncorrected: -697 meV/atom
# Total energy: -5.740 eV/atom
# DOS at the Fermi energy: 0.996 states/eV per atom